Compound: P2HOsRu
Source: the Alexandria database
Functional: GGA-PBE
Structure: optimized geometry

The structure in extended XYZ format:
```
5
Lattice="4.144 0.000 0.000 0.000 4.144 0.000 0.000 0.000 3.304" Properties=species:S:1:pos:R:3 pbc="T T T"
H 0.000 0.000 0.000
Ru 2.072 2.072 1.652
P 0.000 2.072 0.000
P 2.072 0.000 0.000
Os 0.000 0.000 1.652
```

Output
Total magnetization   0.158 μB per formula unit
Symmetry   P4/mmm
Energy   -6.543 eV per atom
Crystal system   tetragonal

Compound: ScSCl2
Source: the Alexandria database
Functional: GGA-PBE
Structure: optimized geometry

The structure in extended XYZ format:
```
4
Lattice="0.000 3.345 3.345 3.345 0.000 3.345 3.345 3.345 0.000" Properties=species:S:1:pos:R:3 pbc="T T T"
S 0.000 0.000 0.000
Sc 3.345 3.345 3.345
Cl 5.018 5.018 5.018
Cl 1.673 1.673 1.673
```

Output
Total magnetization   0.979 μB per formula unit
Symmetry   Fm-3m
Energy relative to the lowest polymorph listed for this composition   0.654 eV/atom
Crystal system   cubic